# 1
Here is crystalline HgS2Br at its relaxed geometry from Alexandria. Energies are from GGA-PBE.

Unit cell a=4.1338 b=4.4314 c=7.3340 alpha=85.62 beta=77.19 gamma=79.34
With the nearest neighbours (Å) after each atom.
Atoms (fractional coordinates):
Hg (0.0000, 0.0000, 0.0000)  1 S 2.46, 1 Br 2.56
S (0.0553, 0.3166, 0.2498)  1 S 1.96
S (0.4152, 0.1302, 0.3778)  1 S 1.96
Br (0.7318, 0.7069, 0.8024)  1 Hg 2.56

Values from the calculation:
The excess energy over the best structure of this formula in the dataset comes out at 0.000 eV/atom. The space group is P1. Its energy relative to the elements, uncorrected is -0.03 eV per atom. The crystal system is triclinic. The total energy is -2.586 eV per atom.

=====

# 2
Here is crystalline Hg4S12Br at its relaxed geometry from Alexandria. Energies are from GGA-PBE.

Unit cell a=5.7603 b=9.0727 c=10.5414 alpha=77.41 beta=74.95 gamma=72.97
With the nearest neighbours (Å) after each atom.
Atoms (fractional coordinates):
Hg (0.0000, 0.0000, 0.0000)  2 S 2.46
Hg (0.0000, 0.5000, 0.5000)  2 S 2.50
Hg (0.5000, 0.0000, 0.5000)  2 S 2.42
Hg (0.5000, 0.5000, 0.0000)  2 S 2.47
S (0.0003, 0.1832, 0.3397)  2 S 2.01-2.20
S (0.9997, 0.8168, 0.6603)  2 S 2.01-2.20
S (0.0300, 0.3744, 0.7327)  1 S 2.03
S (0.0826, 0.3098, 0.1372)  2 S 2.01-2.20
S (0.2682, 0.9830, 0.3442)  1 S 2.01
S (0.2822, 0.1428, 0.0266)  1 S 2.01
S (0.2946, 0.6770, 0.1662)  1 S 2.03
S (0.7054, 0.3230, 0.8338)  1 S 2.03
S (0.7178, 0.8572, 0.9734)  1 S 2.01
S (0.7318, 0.0170, 0.6558)  1 S 2.01
S (0.9174, 0.6902, 0.8628)  2 S 2.01-2.20
S (0.9700, 0.6256, 0.2673)  1 S 2.03
Br (0.5000, 0.5000, 0.5000)  2 Hg 2.88

Values from the calculation:
The space group is P-1. Its energy relative to the elements, uncorrected is 0.05 eV per atom. The crystal system is triclinic. The total energy is -3.035 eV per atom.

=====

# 3
Here is crystalline Hg3S2Br2 at its relaxed geometry from Alexandria. Energies are from GGA-PBE.

Unit cell a=6.7764 b=7.5413 c=10.1567 alpha=90.00 beta=125.27 gamma=90.00
With the nearest neighbours (Å) after each atom.
Atoms (fractional coordinates):
Hg (0.0000, 0.0000, 0.0000)  2 S 2.40
Hg (0.0000, 0.5000, 0.5000)  2 S 2.40
Hg (0.3570, 0.0726, 0.6820)  2 S 2.48-2.52
Hg (0.3570, 0.4274, 0.1820)  2 S 2.48-2.52
Hg (0.6430, 0.5726, 0.8180)  2 S 2.48-2.52
Hg (0.6430, 0.9274, 0.3180)  2 S 2.48-2.52
S (0.3814, 0.1265, 0.0854)  3 Hg 2.40-2.52
S (0.3814, 0.3735, 0.5854)  3 Hg 2.40-2.52
S (0.6186, 0.6265, 0.4146)  3 Hg 2.40-2.52
S (0.6186, 0.8735, 0.9146)  3 Hg 2.40-2.52
Br (0.1181, 0.6152, 0.8845)  2 Hg 2.85-2.90
Br (0.1181, 0.8848, 0.3845)  2 Hg 2.85-2.90
Br (0.8819, 0.1152, 0.6155)  2 Hg 2.85-2.90
Br (0.8819, 0.3848, 0.1155)  2 Hg 2.85-2.90

Values from the calculation:
The excess energy over the best structure of this formula in the dataset comes out at 0.015 eV/atom. The space group is P2_1/c. Its energy relative to the elements, uncorrected is -0.29 eV per atom. The crystal system is monoclinic. The total energy is -2.081 eV per atom.

=====

# 4
Here is crystalline HgS3Br3 at its relaxed geometry from Alexandria. Energies are from GGA-PBE.

Unit cell a=8.5906 b=8.5935 c=9.3408 alpha=62.71 beta=62.72 gamma=60.01
With the nearest neighbours (Å) after each atom.
Atoms (fractional coordinates):
Hg (0.2503, 0.2503, 0.2493)  3 Br 2.58
Hg (0.7497, 0.7497, 0.7507)  3 Br 2.58
S (0.0058, 0.7727, 0.1963)  2 S 2.09
S (0.0255, 0.0056, 0.1964)  2 S 2.09
S (0.2272, 0.9745, 0.8038)  2 S 2.09
S (0.7728, 0.0255, 0.1962)  2 S 2.09
S (0.9745, 0.9944, 0.8036)  2 S 2.09
S (0.9942, 0.2273, 0.8037)  2 S 2.09
Br (0.0927, 0.6351, 0.7441)  1 Hg 2.58
Br (0.3649, 0.4720, 0.2560)  1 Hg 2.58
Br (0.4716, 0.9074, 0.2561)  1 Hg 2.58
Br (0.5284, 0.0926, 0.7439)  1 Hg 2.58
Br (0.6351, 0.5280, 0.7440)  1 Hg 2.58
Br (0.9073, 0.3649, 0.2559)  1 Hg 2.58

Values from the calculation:
The space group is P-1. Its energy relative to the elements, uncorrected is 0.01 eV per atom. The crystal system is triclinic. The total energy is -2.518 eV per atom.

=====

# 5
Here is crystalline HgS2Br at its relaxed geometry from Alexandria. Energies are from GGA-PBE.

Unit cell a=5.4228 b=5.4228 c=14.9399 alpha=90.00 beta=90.00 gamma=90.00
With the nearest neighbours (Å) after each atom.
Atoms (fractional coordinates):
Hg (0.0000, 0.0000, 0.0000)  4 S 2.68
Hg (0.0000, 0.5000, 0.2500)  4 S 2.68
Hg (0.5000, 0.0000, 0.7500)  4 S 2.68
Hg (0.5000, 0.5000, 0.5000)  4 S 2.68
S (0.2495, 0.2500, 0.6250)  2 Br 2.67, 2 Hg 2.68
S (0.2500, 0.7495, 0.8750)  2 Br 2.67, 2 Hg 2.68
S (0.2500, 0.7505, 0.3750)  2 Br 2.67, 2 Hg 2.68
S (0.2505, 0.2500, 0.1250)  2 Br 2.67, 2 Hg 2.68
S (0.7495, 0.7500, 0.1250)  2 Br 2.67, 2 Hg 2.68
S (0.7500, 0.2495, 0.3750)  2 Br 2.67, 2 Hg 2.68
S (0.7500, 0.2505, 0.8750)  2 Br 2.67, 2 Hg 2.68
S (0.7505, 0.7500, 0.6250)  2 Br 2.67, 2 Hg 2.68
Br (0.0000, 0.0000, 0.5000)  4 S 2.67
Br (0.0000, 0.5000, 0.7500)  4 S 2.67
Br (0.5000, 0.0000, 0.2500)  4 S 2.67
Br (0.5000, 0.5000, 0.0000)  4 S 2.67

Values from the calculation:
The excess energy over the best structure of this formula in the dataset comes out at 0.565 eV/atom. The space group is I-42d. Its energy relative to the elements, uncorrected is 0.54 eV per atom. The crystal system is tetragonal. The total energy is -2.021 eV per atom.

=====

# 6
Here is crystalline Hg2SBr2 at its relaxed geometry from Alexandria. Energies are from GGA-PBE.

Unit cell a=7.4588 b=7.4588 c=8.8079 alpha=113.09 beta=113.09 gamma=59.01
With the nearest neighbours (Å) after each atom.
Atoms (fractional coordinates):
Hg (0.0061, 0.0061, 0.2519)  1 S 2.36, 1 Br 2.49
Hg (0.3196, 0.3196, 0.4214)  1 S 2.35, 1 Br 2.50
Hg (0.6804, 0.6804, 0.5786)  1 S 2.35, 1 Br 2.50
Hg (0.9939, 0.9939, 0.7481)  1 S 2.36, 1 Br 2.49
S (0.1514, 0.1514, 0.1614)  2 Hg 2.35-2.36
S (0.8486, 0.8486, 0.8386)  2 Hg 2.35-2.36
Br (0.1638, 0.1638, 0.6872)  1 Hg 2.49
Br (0.4844, 0.4844, 0.7140)  1 Hg 2.50
Br (0.5156, 0.5156, 0.2860)  1 Hg 2.50
Br (0.8362, 0.8362, 0.3128)  1 Hg 2.49

Values from the calculation:
The space group is C2/m. Its energy relative to the elements, uncorrected is -0.30 eV per atom. The crystal system is monoclinic. The total energy is -1.911 eV per atom.